! TiAs2PdSe | Alexandria via LeMat-Bulk | PBE | optimized geometry; values from VASP
&SYSTEM
  ibrav = 0, nat = 5, ntyp = 4
/
ATOMIC_SPECIES
Se 78.96 Se.upf
As 74.92 As.upf
Pd 106.42 Pd.upf
Ti 47.87 Ti.upf
ATOMIC_POSITIONS angstrom
Se 0.0000 0.0000 2.4124
As 2.4284 0.0000 0.0000
Pd 2.4284 2.4284 2.4124
As 0.0000 2.4284 0.0000
Ti 0.0000 0.0000 0.0000
CELL_PARAMETERS angstrom
4.8567 0.0000 0.0000
0.0000 4.8567 0.0000
0.0000 0.0000 4.8247
! ΔE to the lowest computed polymorph: 0.0 meV per atom
! final energy: -24.859 eV/cell